VASP calculation (PBEsol) on a relaxed structure of Rb2TlAsF6.

## Properties
Fermi-level density of states (states/eV/cell): 0.0
Raw total energy (eV/cell): -44.280
Space group: No. 225
Spin magnetization (μB/cell): 0.0
Formation energy from raw total energies (eV per atom): -2.29

Lattice parameters (Å, degrees): 6.5411 6.5411 6.5411 60.00 60.00 60.00
Last column: nearest neighbours and their distance in Å.
Element x y z (fractional)
Tl 0.0000 0.0000 0.0000  6 F 2.58
As 0.5000 0.5000 0.5000  6 F 2.04
Rb 0.2500 0.2500 0.2500  12 F 3.28
Rb 0.7500 0.7500 0.7500  12 F 3.28
F 0.7211 0.2789 0.2789  1 As 2.04
F 0.2789 0.7211 0.2789  1 As 2.04
F 0.7211 0.2789 0.7211  1 As 2.04
F 0.2789 0.7211 0.7211  1 As 2.04
F 0.2789 0.2789 0.7211  1 As 2.04
F 0.7211 0.7211 0.2789  1 As 2.04